Record 1
## NaYReTc (GGA-PBE)

Data for a geometry-optimized NaYReTc structure.

**Uncorrected energy**: -25.7 eV per formula unit

Cell and atoms, written as extended XYZ:
```
4
Lattice="4.4174 -1.6680 0.5538 1.0785 -4.3988 -1.4453 2.7932 -0.6377 -3.7939" Properties=species:S:1:pos:R:3 pbc="T T T"
Na 6.2168 -5.0284 -3.5140
Re 0.0000 0.0000 0.0000
Tc 4.1445 -3.3523 -2.3427
Y 2.0723 -1.6761 -1.1713
```

Record 2
## HoSiGe (GGA-PBE)

Data for a geometry-optimized HoSiGe structure.

**Uncorrected energy**: -14.9 eV per formula unit

Cell and atoms, written as extended XYZ:
```
3
Lattice="0.0000 3.2833 3.2833 3.2833 0.0000 3.2833 3.2833 3.2833 0.0000" Properties=species:S:1:pos:R:3 pbc="T T T"
Ge 1.6417 1.6417 1.6417
Ho 4.9250 4.9250 4.9250
Si 0.0000 0.0000 0.0000
```

Record 3
## ScGeAu2 (GGA-PBE)

Data for a geometry-optimized ScGeAu2 structure.

**Uncorrected energy**: -19.3 eV per formula unit

Cell and atoms, written as extended XYZ:
```
4
Lattice="0.0000 3.3325 3.3325 3.3325 0.0000 3.3325 3.3325 3.3325 0.0000" Properties=species:S:1:pos:R:3 pbc="T T T"
Au 0.0000 0.0000 0.0000
Au 4.9988 4.9988 4.9988
Ge 3.3325 3.3325 3.3325
Sc 1.6663 1.6663 1.6663
```

Record 4
## Y2CuAgGe2 (GGA-PBE)

Data for a geometry-optimized Y2CuAgGe2 structure.

**Uncorrected energy**: -31.7 eV per formula unit

Cell and atoms, written as extended XYZ:
```
24
Lattice="7.8375 0.0000 0.0000 0.0000 4.5014 0.0000 -2.5072 0.0000 14.7405" Properties=species:S:1:pos:R:3 pbc="T T T"
Ag 1.3320 0.0000 3.6690
Ag 5.2564 2.2507 3.6957
Ag 3.9941 0.0000 11.0429
Ag 1.4040 0.0000 14.7043
Cu 2.6476 2.2507 7.4333
Cu -1.2437 0.0000 7.4445
Cu 0.0751 2.2507 11.0134
Cu -2.4853 2.2507 14.7156
Ge 0.0252 2.2507 2.7077
Ge 3.9405 0.0000 2.7706
Ge 1.3447 0.0000 6.5278
Ge 5.2808 2.2507 6.5386
Ge 2.6208 2.2507 10.0825
Ge -1.1954 0.0000 10.0953
Ge 0.0484 2.2507 13.7491
Ge 4.0750 0.0000 13.8269
Y 1.2427 0.0000 0.8548
Y 5.3181 2.2507 0.8954
Y 2.6457 2.2507 4.7188
Y 6.5709 0.0000 4.7268
Y 3.9674 0.0000 8.2305
Y 0.0592 2.2507 8.2999
Y 1.3011 0.0000 11.8797
Y 5.3936 2.2507 12.0027
```

Record 5
## SrZrSc (GGA-PBE)

Data for a geometry-optimized SrZrSc structure.

**Uncorrected energy**: -15.2 eV per formula unit

Cell and atoms, written as extended XYZ:
```
9
Lattice="-1.8747 -6.9725 3.2036 3.4882 0.2827 -7.0814 4.7519 -0.2059 2.3325" Properties=species:S:1:pos:R:3 pbc="T T T"
Sc -0.0871 -4.5541 -0.2247
Sc 1.7006 -2.1357 -3.6530
Sc 2.3759 -0.1030 1.1662
Sr 1.3180 -4.0378 2.9741
Sr 3.0789 -3.0175 -0.5232
Sr 4.3444 0.0566 -2.8300
Zr -0.3985 -1.4820 0.6809
Zr 0.7414 0.0601 -1.5052
Zr 1.2705 -5.2678 -3.0535
```

Record 6
## Li2Cd2GaSnPt2 (GGA-PBE)

Data for a geometry-optimized Li2Cd2GaSnPt2 structure.

**Uncorrected energy**: -28.6 eV per formula unit

Cell and atoms, written as extended XYZ:
```
8
Lattice="4.5533 0.0000 0.0000 0.0000 4.5533 0.0000 0.0000 0.0000 6.5041" Properties=species:S:1:pos:R:3 pbc="T T T"
Cd 2.2766 2.2766 0.0000
Cd 0.0000 0.0000 3.2520
Ga 0.0000 0.0000 0.0000
Li 2.2766 0.0000 1.4986
Li 0.0000 2.2766 5.0055
Pt 0.0000 2.2766 1.5486
Pt 2.2766 0.0000 4.9554
Sn 2.2766 2.2766 3.2520
```

Record 7
## Tb2B4C (GGA-PBE)

Data for a geometry-optimized Tb2B4C structure.

**Uncorrected energy**: -49.1 eV per formula unit

Cell and atoms, written as extended XYZ:
```
7
Lattice="1.9786 0.8588 4.8340 -4.5457 2.1152 1.6977 2.3198 -4.5232 -1.4762" Properties=species:S:1:pos:R:3 pbc="T T T"
B -0.7040 0.9930 3.7186
B 0.9757 -0.8318 0.7622
B 3.3226 -2.8325 2.5956
B 0.4567 -2.5421 1.3370
C 0.0000 0.0000 0.0000
Tb 1.4679 -1.0429 3.4125
Tb -1.7152 -0.5063 1.6431
```

Record 8
## ZnFeAgB (GGA-PBE)

Data for a geometry-optimized ZnFeAgB structure.

**Uncorrected energy**: -16.0 eV per formula unit

Cell and atoms, written as extended XYZ:
```
4
Lattice="1.4869 2.8623 2.6437 -1.4132 0.1510 3.9208 2.4713 -1.1581 3.1534" Properties=species:S:1:pos:R:3 pbc="T T T"
Ag 1.2725 0.9276 4.8589
B 0.0000 0.0000 0.0000
Fe 1.9088 1.3914 7.2884
Zn 0.6363 0.4638 2.4295
```

Record 9
## BaLuTeAuS2 (GGA-PBE)

Data for a geometry-optimized BaLuTeAuS2 structure.

**Uncorrected energy**: -29.4 eV per formula unit

Cell and atoms, written as extended XYZ:
```
12
Lattice="2.1667 4.7207 -5.7538 -5.1007 -1.8467 5.5371 5.5258 6.1804 7.1515" Properties=species:S:1:pos:R:3 pbc="T T T"
Au 0.0841 3.1355 1.4159
Au 2.5077 5.9190 5.5188
Ba -2.1802 1.0892 4.9339
Ba 4.7720 7.9653 2.0008
Lu 0.0000 0.0000 0.0000
Lu 2.7629 3.0902 3.5758
S -0.3010 2.5606 -0.9925
S 1.8106 4.9224 1.7404
S 0.7812 4.1320 5.1944
S 2.8928 6.4938 7.9273
Te 2.8140 5.6024 -2.8254
Te -0.2222 3.4521 9.7601
```

Record 10
## SmGd2Al7Cu2 (GGA-PBE)

Data for a geometry-optimized SmGd2Al7Cu2 structure.

**Uncorrected energy**: -53.7 eV per formula unit

Cell and atoms, written as extended XYZ:
```
12
Lattice="2.5573 -7.5734 4.4029 6.1358 -3.5673 5.7366 1.1909 -3.7977 8.2122" Properties=species:S:1:pos:R:3 pbc="T T T"
Al 5.1383 -6.7488 6.4848
Al 5.4414 -10.1122 9.9272
Al 7.2635 -8.0724 10.6063
Al 4.9420 -7.4692 9.1758
Al 2.6205 -6.8661 7.7454
Al 4.4426 -4.8263 8.4244
Al 4.7457 -8.1897 11.8669
Cu 3.3145 -5.0095 6.1541
Cu 6.5695 -9.9290 12.1976
Gd 1.4011 -2.1175 2.6014
Gd 8.4829 -12.8209 15.7503
Sm 0.0000 0.0000 0.0000
```

Record 11
## KNdSc (GGA-PBE)

Data for a geometry-optimized KNdSc structure.

**Uncorrected energy**: -8.8 eV per formula unit

Cell and atoms, written as extended XYZ:
```
3
Lattice="0.0000 4.0796 4.0796 4.0796 0.0000 4.0796 4.0796 4.0796 0.0000" Properties=species:S:1:pos:R:3 pbc="T T T"
K 2.0398 2.0398 2.0398
Nd 6.1194 6.1194 6.1194
Sc 0.0000 0.0000 0.0000
```

Record 12
## DyHoAl2Ir4 (GGA-PBE)

Data for a geometry-optimized DyHoAl2Ir4 structure.

**Uncorrected energy**: -57.8 eV per formula unit

Cell and atoms, written as extended XYZ:
```
8
Lattice="4.2928 0.0000 0.0000 -2.1464 3.7176 0.0000 0.0000 0.0000 9.1305" Properties=species:S:1:pos:R:3 pbc="T T T"
Al 2.1464 1.2392 2.2862
Al 2.1464 1.2392 6.8443
Dy 0.0000 0.0000 0.0000
Ho 0.0000 2.4784 4.5652
Ir 0.0000 2.4784 1.5251
Ir 0.0000 0.0000 3.0567
Ir 0.0000 0.0000 6.0738
Ir 0.0000 2.4784 7.6054
```

Record 13
## Cu2AgGe (GGA-PBE)

Data for a geometry-optimized Cu2AgGe structure.

**Uncorrected energy**: -14.3 eV per formula unit

Cell and atoms, written as extended XYZ:
```
4
Lattice="1.4404 1.7197 3.7597 -1.6544 -1.3766 3.8125 2.4551 -2.4078 2.7098" Properties=species:S:1:pos:R:3 pbc="T T T"
Ag 0.5603 -0.5162 2.5705
Cu 0.0000 0.0000 0.0000
Cu 1.6808 -1.5485 7.7115
Ge 1.1205 -1.0324 5.1410
```

Record 14
## Hf2InSbPt2 (GGA-PBE)

Data for a geometry-optimized Hf2InSbPt2 structure.

**Uncorrected energy**: -44.3 eV per formula unit

Cell and atoms, written as extended XYZ:
```
12
Lattice="-3.6390 3.3507 -4.0018 2.7742 -2.8906 -4.9429 -4.8659 -4.3547 -4.2795" Properties=species:S:1:pos:R:3 pbc="T T T"
Hf 0.9121 -1.2593 -6.9420
Hf -3.0390 -1.7882 -8.8502
Hf -2.6918 -2.1064 -4.3741
Hf -3.4362 -5.7559 -6.7529
In 0.0000 0.0000 0.0000
In -1.2621 -3.5076 -6.8474
Pt -3.1271 0.6264 -4.2192
Pt 0.0455 -2.4587 -4.6291
Pt -4.3839 -2.8840 -11.0118
Pt -3.9961 -3.0729 -6.5885
Sb -0.4324 0.2300 -4.4724
Sb -4.4687 -0.3870 -6.3769
```

Record 15
## ScCu2 (GGA-PBE)

Data for a geometry-optimized ScCu2 structure.

**Uncorrected energy**: -14.5 eV per formula unit
**Formation enthalpy at 0 K**: -0.26 eV per atom

Cell and atoms, written as extended XYZ:
```
6
Lattice="-0.5592 -3.2448 0.1299 3.2142 -0.5719 -0.4473 1.1679 0.1282 8.2271" Properties=species:S:1:pos:R:3 pbc="T T T"
Cu 0.2017 0.0221 1.4209
Cu 1.7104 -1.8663 2.5390
Cu 2.1130 -1.8221 5.3751
Cu 0.9655 0.1060 6.8016
Sc 0.5842 0.0641 4.1154
Sc 2.4951 -1.7801 8.0668
```

Record 16
## SmTlZnS3 (GGA-PBE)

Data for a geometry-optimized SmTlZnS3 structure.

**Uncorrected energy**: -28.0 eV per formula unit

Cell and atoms, written as extended XYZ:
```
24
Lattice="10.8077 0.0000 0.0000 0.0000 4.0429 0.0000 0.0000 0.0000 14.1892" Properties=species:S:1:pos:R:3 pbc="T T T"
S 9.8304 3.0322 1.6581
S 5.9287 3.0322 1.8710
S 2.5999 1.0107 2.6815
S 8.0038 1.0107 4.4131
S 0.5248 3.0322 5.2236
S 4.4265 3.0322 5.4365
S 6.3812 1.0107 8.7528
S 10.2829 1.0107 8.9656
S 2.8039 3.0322 9.7761
S 8.2078 3.0322 11.5078
S 4.8790 1.0107 12.3182
S 0.9773 1.0107 12.5311
Sm 10.6657 1.0107 3.3812
Sm 5.2619 1.0107 3.7134
Sm 5.5458 3.0322 10.4758
Sm 0.1420 3.0322 10.8080
Tl 3.0764 3.0322 0.0408
Tl 8.4802 3.0322 7.0538
Tl 2.3275 1.0107 7.1354
Tl 7.7313 1.0107 14.1484
Zn 7.9536 3.0322 3.0211
Zn 2.5497 3.0322 4.0736
Zn 8.2580 1.0107 10.1157
Zn 2.8541 1.0107 11.1682
```

Record 17
## GeBPtAu (GGA-PBE)

Data for a geometry-optimized GeBPtAu structure.

**Uncorrected energy**: -17.4 eV per formula unit

Cell and atoms, written as extended XYZ:
```
4
Lattice="-0.1692 -3.5252 -2.6966 -3.9073 -1.8909 -0.9407 -1.7373 0.3974 -4.0683" Properties=species:S:1:pos:R:3 pbc="T T T"
Au -4.3603 -3.7640 -5.7792
B 0.0000 0.0000 0.0000
Ge -1.4534 -1.2547 -1.9264
Pt -2.9069 -2.5094 -3.8528
```

Record 18
## Na2PrMg2 (GGA-PBE)

Data for a geometry-optimized Na2PrMg2 structure.

**Uncorrected energy**: -8.9 eV per formula unit

Cell and atoms, written as extended XYZ:
```
10
Lattice="5.4674 0.0000 0.0000 -2.7337 4.7349 0.0000 0.0000 0.0000 12.7912" Properties=species:S:1:pos:R:3 pbc="T T T"
Mg 0.0000 0.0000 0.0000
Mg 0.0000 3.1566 3.1978
Mg 0.0000 0.0000 6.3956
Mg 2.7337 1.5783 9.5934
Na 2.7337 1.5783 1.1938
Na 2.7337 1.5783 5.2018
Na 0.0000 3.1566 7.5894
Na 0.0000 3.1566 11.5973
Pr 0.0000 0.0000 3.1978
Pr 0.0000 0.0000 9.5934
```

Record 19
## CsTmMg (GGA-PBE)

Data for a geometry-optimized CsTmMg structure.

**Uncorrected energy**: -4.2 eV per formula unit

Cell and atoms, written as extended XYZ:
```
3
Lattice="-3.6393 3.4742 2.8500 -0.7784 5.4494 -1.7707 -5.0078 1.5622 -2.4328" Properties=species:S:1:pos:R:3 pbc="T T T"
Cs -2.3563 2.6214 -0.3384
Mg -7.0691 7.8643 -1.0151
Tm 0.0000 0.0000 0.0000
```

Record 20
## As2Ir (GGA-PBE)

Data for a geometry-optimized As2Ir structure.

**Uncorrected energy**: -18.2 eV per formula unit

Cell and atoms, written as extended XYZ:
```
6
Lattice="1.0258 0.5316 4.9536 -2.0889 -1.3311 4.4427 3.6297 -4.9204 -4.1894" Properties=species:S:1:pos:R:3 pbc="T T T"
As -0.6161 -1.1977 8.1231
As 1.2660 -2.4910 1.3643
As 1.3007 -3.2288 3.8426
As 3.1827 -4.5221 -2.9162
Ir 0.0319 -1.5137 5.3249
Ir 2.5348 -4.2061 -0.1180
```

Record 21
## Nb2Si2Mo (GGA-PBE)

Data for a geometry-optimized Nb2Si2Mo structure.

**Uncorrected energy**: -41.1 eV per formula unit

Cell and atoms, written as extended XYZ:
```
5
Lattice="2.6239 1.3159 5.6120 -2.7811 1.1176 5.5793 0.1720 -3.8575 -5.0201" Properties=species:S:1:pos:R:3 pbc="T T T"
Mo 0.0000 0.0000 0.0000
Nb 1.3587 -0.6624 3.0938
Nb -1.3438 -0.7616 3.0774
Si -0.0635 0.9827 4.5192
Si -0.0937 1.4508 6.6721
```

Record 22
## MgFeNiGe (GGA-PBE)

Data for a geometry-optimized MgFeNiGe structure.

**Uncorrected energy**: -20.4 eV per formula unit

Cell and atoms, written as extended XYZ:
```
4
Lattice="0.9248 -3.7293 -1.5612 -2.6527 -3.1551 0.4567 -2.0829 -1.4494 -3.2805" Properties=species:S:1:pos:R:3 pbc="T T T"
Fe -0.9527 -2.0835 -1.0962
Ge 0.0000 0.0000 0.0000
Mg -1.9054 -4.1669 -2.1925
Ni -2.8581 -6.2504 -3.2887
```

Record 23
## SrAcCo (GGA-PBE)

Data for a geometry-optimized SrAcCo structure.

**Uncorrected energy**: -12.0 eV per formula unit

Cell and atoms, written as extended XYZ:
```
3
Lattice="0.0000 3.6324 3.6324 3.6324 0.0000 3.6324 3.6324 3.6324 0.0000" Properties=species:S:1:pos:R:3 pbc="T T T"
Ac 1.8162 1.8162 1.8162
Co 0.0000 0.0000 0.0000
Sr 5.4486 5.4486 5.4486
```

Record 24
## PrNd2SmSe3O4 (GGA-PBE)

Data for a geometry-optimized PrNd2SmSe3O4 structure.

**Uncorrected energy**: -79.6 eV per formula unit

Cell and atoms, written as extended XYZ:
```
11
Lattice="8.4526 0.0000 0.0000 0.0000 2.0058 6.4502 0.0000 -2.0058 6.4502" Properties=species:S:1:pos:R:3 pbc="T T T"
Nd 2.2308 0.0000 8.8242
Nd 6.2218 0.0000 8.8242
O 2.1910 0.0000 1.1319
O 6.2616 0.0000 1.1319
O 4.2263 0.0000 7.5784
O 0.0000 0.0000 7.9660
Pr 0.0000 0.0000 0.2071
Se 4.2263 0.0000 4.0758
Se 1.2639 0.0000 4.5860
Se 7.1887 0.0000 4.5860
Sm 4.2263 0.0000 0.0413
```

Record 25
## GdHo2Ga3CuGe2 (GGA-PBE)

Data for a geometry-optimized GdHo2Ga3CuGe2 structure.

**Uncorrected energy**: -41.7 eV per formula unit

Cell and atoms, written as extended XYZ:
```
9
Lattice="-0.3212 3.5505 2.1288 1.8518 -3.3703 5.9005 4.9230 2.9101 -4.1109" Properties=species:S:1:pos:R:3 pbc="T T T"
Cu 0.0244 -0.0017 0.0064
Ga 1.2599 -0.8030 5.5789
Ga 1.4288 1.6673 1.4843
Ga 3.6091 4.0010 -2.0790
Gd 4.0580 -0.2756 1.0720
Ge 2.7024 0.4884 3.6426
Ge 3.7365 2.6030 0.2719
Ho 3.8184 -2.2037 4.2516
Ho 5.6589 1.5600 -1.7481
```